(A)
Computed, not measured: a geometry-optimized NiRh3Se structure at the GGA-PBE level of DFT. Values from VASP.

Cell and atoms, written as Quantum ESPRESSO input:
```
&SYSTEM
  ibrav = 0, nat = 5, ntyp = 3
/
ATOMIC_SPECIES
Rh 102.91 Rh.upf
Se 78.96 Se.upf
Ni 58.69 Ni.upf
ATOMIC_POSITIONS angstrom
Rh 0.000 2.263 0.000
Se 0.000 0.000 0.000
Rh 0.000 0.000 2.263
Ni 2.263 2.263 2.263
Rh 2.263 0.000 0.000
CELL_PARAMETERS angstrom
4.526 0.000 0.000
0.000 4.526 0.000
0.000 0.000 4.526
```

Computed properties:
As for the magnetization: 0.29 μB per atom. The symmetry is Pm-3m. The value obtained for the density of states at the Fermi level is 21.79 states/eV per cell. As for the calculated density: 7.995 Mg/m³.

***

(B)
Computed, not measured: a geometry-optimized NiRh3Se structure at the GGA-PBE level of DFT. Values from VASP.

Cell and atoms, written as Quantum ESPRESSO input:
```
&SYSTEM
  ibrav = 0, nat = 5, ntyp = 3
/
ATOMIC_SPECIES
Rh 102.91 Rh.upf
Se 78.96 Se.upf
Ni 58.69 Ni.upf
ATOMIC_POSITIONS angstrom
Rh -2.001 1.007 0.231
Rh -0.460 -0.416 -2.164
Se -3.385 -1.380 -1.358
Rh -0.925 -1.970 0.576
Ni 0.000 0.000 0.000
CELL_PARAMETERS angstrom
-0.919 -0.833 -4.329
-1.850 -3.941 1.151
-4.001 2.013 0.462
```

Computed properties:
As for the magnetization: 0.71 μB per atom. The symmetry is Pm-3m. The value obtained for the density of states at the Fermi level is 8.06 states/eV per cell. As for the calculated density: 8.119 Mg/m³.

***

(A) is the most stable structure; the next one sits 279 meV per atom above it.

***

(A)
Computed, not measured: a geometry-optimized SiNiRh3 structure at the GGA-PBE level of DFT. Values from VASP.

Cell and atoms, written as Quantum ESPRESSO input:
```
&SYSTEM
  ibrav = 0, nat = 5, ntyp = 3
/
ATOMIC_SPECIES
Si 28.09 Si.upf
Rh 102.91 Rh.upf
Ni 58.69 Ni.upf
ATOMIC_POSITIONS angstrom
Si 0.677 -3.773 0.179
Rh 1.841 -1.005 -0.716
Rh 0.068 -1.200 1.861
Ni 0.000 0.000 0.000
Rh -1.231 -1.568 -0.966
CELL_PARAMETERS angstrom
-2.463 -3.136 -1.933
3.681 -2.009 -1.431
0.137 -2.401 3.722
```

Computed properties:
As for the magnetization: 0.36 μB per atom. The symmetry is Pm-3m. The value obtained for the density of states at the Fermi level is 9.62 states/eV per cell. As for the calculated density: 7.548 Mg/m³.

***

(B)
Computed, not measured: a geometry-optimized SiNiRh3 structure at the GGA-PBE level of DFT. Values from VASP.

Cell and atoms, written as Quantum ESPRESSO input:
```
&SYSTEM
  ibrav = 0, nat = 5, ntyp = 3
/
ATOMIC_SPECIES
Ni 58.69 Ni.upf
Si 28.09 Si.upf
Rh 102.91 Rh.upf
ATOMIC_POSITIONS angstrom
Ni 2.186 2.186 2.186
Si 0.000 0.000 0.000
Rh 2.186 0.000 0.000
Rh 0.000 0.000 2.186
Rh 0.000 2.186 0.000
CELL_PARAMETERS angstrom
4.371 0.000 0.000
0.000 4.371 0.000
0.000 0.000 4.371
```

Computed properties:
As for the magnetization: 0.55 μB per atom. The symmetry is Pm-3m. The value obtained for the density of states at the Fermi level is 7.07 states/eV per cell. As for the calculated density: 7.863 Mg/m³.

***

(B) is the most stable structure; the next one sits 605 meV per atom above it.